(1)
Material: SrPrSmY
Method: DFT, PBE
State: relaxed

Results
- DOS(E_F): 6.86 states/eV/f.u.
- Calculated total energy: -4.201 eV/atom
- Formation energy from the elements: 210 meV/atom

Unit cell a=5.969 b=5.969 c=5.969 alpha=60.00 beta=60.00 gamma=60.00
Sites, in units of the cell vectors:
Sr 0.000 0.000 0.000
Pr 0.250 0.250 0.250
Sm 0.750 0.750 0.750
Y 0.500 0.500 0.500


(2)
Material: PrSm2Ta
Method: DFT, PBE
State: relaxed

Results
- DOS(E_F): 6.71 states/eV/f.u.
- Calculated total energy: -5.849 eV/atom
- Formation energy from the elements: 669 meV/atom

Unit cell a=12.272 b=12.272 c=12.272 alpha=15.56 beta=15.56 gamma=15.56
Sites, in units of the cell vectors:
Pr 0.000 0.000 0.000
Sm 0.420 0.420 0.420
Sm 0.580 0.580 0.580
Ta 0.500 0.500 0.500


(3)
Material: Tb4Pr2Sm
Method: DFT, PBE
State: relaxed

Results
- DOS(E_F): 6.96 states/eV/f.u.
- Calculated total energy: -4.504 eV/atom
- Formation energy from the elements: 182 meV/atom

Unit cell a=6.865 b=6.893 c=6.897 alpha=87.98 beta=60.28 gamma=60.23
Sites, in units of the cell vectors:
Tb 0.000 0.000 0.000
Tb 0.130 0.614 0.389
Tb 0.446 0.167 0.941
Tb 0.579 0.555 0.553
Pr 0.072 0.084 0.471
Pr 0.505 0.084 0.470
Sm 0.787 0.584 0.971